No. 1
The following is a DFT calculation (meta-GGA SCAN) of a PBEsol-optimized structure of Mn2AlNi.

The structure in CIF format:
```
data_Mn2AlNi
_cell_length_a 2.8554
_cell_length_b 2.8554
_cell_length_c 5.6051
_cell_angle_alpha 90.00
_cell_angle_beta 90.00
_cell_angle_gamma 90.00
_space_group_name_H-M_alt 'P 1'
_space_group_IT_number 1
loop_
_space_group_symop_operation_xyz
'x,y,z'
loop_
_atom_site_label
_atom_site_type_symbol
_atom_site_fract_x
_atom_site_fract_y
_atom_site_fract_z
Mn1 Mn 0.0000 0.0000 0.0000
Mn2 Mn 0.5000 0.5000 0.2232
Al1 Al 0.5000 0.5000 0.7264
Ni1 Ni 0.0000 0.0000 0.4801
```

Calculated values
Formation enthalpy at 0 K: -404 meV/atom

***

No. 2
The following is a DFT calculation (meta-GGA SCAN) of a PBEsol-optimized structure of Mn2AlNi.

The structure in CIF format:
```
data_Mn2AlNi
_cell_length_a 4.2097
_cell_length_b 4.2097
_cell_length_c 4.2097
_cell_angle_alpha 126.86
_cell_angle_beta 126.86
_cell_angle_gamma 78.48
_space_group_name_H-M_alt 'P 1'
_space_group_IT_number 1
loop_
_space_group_symop_operation_xyz
'x,y,z'
loop_
_atom_site_label
_atom_site_type_symbol
_atom_site_fract_x
_atom_site_fract_y
_atom_site_fract_z
Mn1 Mn 0.0000 0.0000 0.0000
Mn2 Mn 0.7500 0.2500 0.5000
Al1 Al 0.2500 0.7500 0.5000
Ni1 Ni 0.5000 0.5000 0.0000
```

Calculated values
Formation enthalpy at 0 K: -472 meV/atom

***

No. 3
The following is a DFT calculation (meta-GGA SCAN) of a PBEsol-optimized structure of MnAlNi2Pd.

The structure in CIF format:
```
data_MnAlNi2Pd
_cell_length_a 4.5528
_cell_length_b 4.5528
_cell_length_c 4.4136
_cell_angle_alpha 90.00
_cell_angle_beta 90.00
_cell_angle_gamma 90.00
_space_group_name_H-M_alt 'P 1'
_space_group_IT_number 1
loop_
_space_group_symop_operation_xyz
'x,y,z'
loop_
_atom_site_label
_atom_site_type_symbol
_atom_site_fract_x
_atom_site_fract_y
_atom_site_fract_z
Mn1 Mn 0.0000 0.0000 0.0000
Al1 Al 0.5000 0.5000 0.0000
Ni1 Ni 0.0000 0.5000 0.5000
Ni2 Ni 0.5000 0.0000 0.5000
Pd1 Pd 0.5000 0.5000 0.5000
```

Calculated values
Formation enthalpy at 0 K: 694 meV/atom